LaCeTc: optimized geometry, PBE-GGA.

It has space group F-43m (No. 216), with a = 6.913 Å, b = 6.913 Å, c = 6.913 Å, α = 90.00°, β = 90.00° and γ = 90.00°. The inequivalent atoms are La at (0.000, 0.000, 0.000), Ce at (0.000, 0.000, 0.500) and Tc at (0.250, 0.250, 0.250).

Its total moment is 0.40 μB per formula unit. As for the calculated total energy: -83.2 eV/cell. The relative energy among the computed polymorphs is 219 meV per atom. The density is 7.6 g/cm3.